Entry from the Alexandria database: a relaxed structure of LiAcPRh6 (PBE).

Values from the calculation:
SG = Imma (74)
Calculated volume = 17.563 Å³/atom
Density of states at the Fermi level = 21.13 states/eV per cell
Energy of formation = -1.17 eV/f.u.
VASP energy = -6.301 eV per atom
Spin magnetization = 0.00 Bohr magnetons per cell

Unit cell a=5.915 b=9.261 c=7.968 alpha=125.53 beta=111.79 gamma=90.00
Fractional coordinates of all 18 atoms:
Li (0.500, 0.000, 0.500)
Li (0.000, 0.000, 0.500)
Ac (0.831, 0.581, 0.663)
Ac (0.169, 0.419, 0.337)
P (0.500, 0.500, 0.000)
P (0.500, 0.000, 0.000)
Rh (0.450, 0.700, 0.900)
Rh (0.921, 0.171, 0.843)
Rh (0.899, 0.112, 0.265)
Rh (0.366, 0.654, 0.265)
Rh (0.366, 0.112, 0.265)
Rh (0.899, 0.654, 0.265)
Rh (0.550, 0.300, 0.100)
Rh (0.079, 0.829, 0.157)
Rh (0.101, 0.888, 0.735)
Rh (0.634, 0.346, 0.735)
Rh (0.634, 0.888, 0.735)
Rh (0.101, 0.346, 0.735)

---

Entry from the Alexandria database: a relaxed structure of TeAs3Pt (PBE).

Values from the calculation:
ΔE_f (raw) = 2.6 eV per formula unit
SG = Pm-3m (221)
Calculated volume = 24.223 Å³/atom
Density of states at the Fermi level = 5.78 states/eV per cell
VASP energy = -4.114 eV per atom
Spin magnetization = 0.00 Bohr magnetons per cell
Polymorph energy (0 for the lowest one) = 0.000 eV/f.u.

Unit cell a=4.948 b=4.948 c=4.948 alpha=90.00 beta=90.00 gamma=90.00
Fractional coordinates of all 5 atoms:
As (0.000, 0.500, 0.000)
As (0.000, 0.000, 0.500)
As (0.500, 0.000, 0.000)
Te (0.500, 0.500, 0.500)
Pt (0.000, 0.000, 0.000)

---

Entry from the Alexandria database: a relaxed structure of Na2MgBi2 (PBE).

Values from the calculation:
SG = I4/mmm (139)
Calculated volume = 30.230 Å³/atom
Density of states at the Fermi level = 2.35 states/eV per cell
Energy of formation = -0.01 eV/f.u.
VASP energy = -2.401 eV per atom
Spin magnetization = 0.00 Bohr magnetons per cell
Polymorph energy (0 for the lowest one) = 1.267 eV/f.u.

Unit cell a=4.345 b=4.345 c=8.577 alpha=75.33 beta=75.33 gamma=90.00
Fractional coordinates of all 5 atoms:
Na (0.750, 0.250, 0.500)
Na (0.250, 0.750, 0.500)
Mg (0.000, 0.000, 0.000)
Bi (0.405, 0.405, 0.190)
Bi (0.595, 0.595, 0.810)

---

Entry from the Alexandria database: a relaxed structure of Li5Mg12Pd2 (PBE).

Values from the calculation:
SG = C2/m (12)
Calculated volume = 20.661 Å³/atom
Density of states at the Fermi level = 5.75 states/eV per cell
Energy of formation = -2.86 eV/f.u.
VASP energy = -2.208 eV per atom
Spin magnetization = 0.00 Bohr magnetons per cell

Unit cell a=8.415 b=7.941 c=6.927 alpha=90.44 beta=90.00 gamma=122.00
Fractional coordinates of all 19 atoms:
Li (0.241, 0.482, 0.560)
Li (0.325, 0.649, 0.029)
Li (0.000, 0.000, 0.500)
Li (0.675, 0.351, 0.971)
Li (0.759, 0.518, 0.440)
Mg (0.911, 0.823, 0.117)
Mg (0.034, 0.685, 0.776)
Mg (0.652, 0.685, 0.776)
Mg (0.174, 0.766, 0.348)
Mg (0.592, 0.766, 0.348)
Mg (0.448, 0.897, 0.714)
Mg (0.552, 0.103, 0.286)
Mg (0.826, 0.234, 0.652)
Mg (0.408, 0.234, 0.652)
Mg (0.966, 0.315, 0.224)
Mg (0.348, 0.315, 0.224)
Mg (0.089, 0.177, 0.883)
Pd (0.712, 0.000, 0.000)
Pd (0.288, 0.000, 0.000)

---

Entry from the Alexandria database: a relaxed structure of MnNiP2 (PBE).

Values from the calculation:
SG = Imm2 (44)
Calculated volume = 12.154 Å³/atom
Density of states at the Fermi level = 2.62 states/eV per cell
Energy of formation = -1.11 eV/f.u.
VASP energy = -6.720 eV per atom
Spin magnetization = 0.04 Bohr magnetons per cell

Unit cell a=5.962 b=5.962 c=5.962 alpha=148.58 beta=153.83 gamma=41.33
Fractional coordinates of all 4 atoms:
Mn (0.463, 0.463, 0.000)
Ni (0.198, 0.698, 0.500)
P (0.042, 0.042, 0.000)
P (0.797, 0.297, 0.500)

---

Entry from the Alexandria database: a relaxed structure of MgNb2CoTc (PBE).

Values from the calculation:
SG = P4/mmm (123)
Calculated volume = 21.092 Å³/atom
Density of states at the Fermi level = 5.80 states/eV per cell
Energy of formation = 5.08 eV/f.u.
VASP energy = -6.825 eV per atom
Spin magnetization = 1.22 Bohr magnetons per cell

Unit cell a=4.787 b=4.602 c=4.787 alpha=90.00 beta=90.00 gamma=90.00
Last column: magnetic moment on the atom in μB.
Fractional coordinates of all 5 atoms:
Mg (0.500, 0.500, 0.500)  0.00
Nb (0.000, 0.000, 0.500)  0.01
Nb (0.500, 0.000, 0.000)  0.05
Co (0.000, 0.500, 0.000)  1.19
Tc (0.000, 0.000, 0.000)  0.05

---

Entry from the Alexandria database: a relaxed structure of K4Ac3TbO8 (PBE).

Values from the calculation:
ΔE_f (raw) = -41.4 eV per formula unit
SG = R-3m (166)
Calculated volume = 19.596 Å³/atom
Density of states at the Fermi level = 0.00 states/eV per cell
VASP energy = -6.400 eV per atom
Spin magnetization = 0.00 Bohr magnetons per cell

Unit cell a=7.557 b=7.698 c=7.556 alpha=119.41 beta=120.00 gamma=90.00
Fractional coordinates of all 16 atoms:
K (0.500, 0.000, 0.000)
K (0.500, 0.000, 0.500)
K (0.000, 0.000, 0.000)
K (0.000, 0.000, 0.500)
Ac (0.500, 0.500, 0.000)
Ac (0.500, 0.500, 0.500)
Ac (0.000, 0.500, 0.500)
Tb (0.000, 0.500, 0.000)
O (0.221, 0.691, 0.969)
O (0.221, 0.691, 0.443)
O (0.267, 0.303, 0.535)
O (0.748, 0.691, 0.969)
O (0.252, 0.309, 0.031)
O (0.733, 0.697, 0.465)
O (0.779, 0.309, 0.557)
O (0.779, 0.309, 0.031)

---

Entry from the Alexandria database: a relaxed structure of KWAu3 (PBE).

Values from the calculation:
SG = Pm-3m (221)
Calculated volume = 27.560 Å³/atom
Density of states at the Fermi level = 3.44 states/eV per cell
Energy of formation = 2.91 eV/f.u.
VASP energy = -4.194 eV per atom
Spin magnetization = 0.00 Bohr magnetons per cell
Polymorph energy (0 for the lowest one) = 0.000 eV/f.u.

Unit cell a=5.165 b=5.165 c=5.165 alpha=90.00 beta=90.00 gamma=90.00
Fractional coordinates of all 5 atoms:
K (0.500, 0.500, 0.500)
Au (0.000, 0.500, 0.000)
Au (0.000, 0.000, 0.500)
Au (0.500, 0.000, 0.000)
W (0.000, 0.000, 0.000)

---

Entry from the Alexandria database: a relaxed structure of Sb2SeCl2 (PBE).

Values from the calculation:
ΔE_f (raw) = -0.8 eV per formula unit
SG = P4/mbm (127)
Calculated volume = 25.661 Å³/atom
Density of states at the Fermi level = 2.96 states/eV per cell
VASP energy = -3.243 eV per atom
Spin magnetization = 0.00 Bohr magnetons per cell

Unit cell a=7.366 b=7.366 c=4.729 alpha=90.00 beta=90.00 gamma=90.00
Fractional coordinates of all 10 atoms:
Sb (0.353, 0.853, 0.000)
Sb (0.853, 0.647, 0.000)
Sb (0.647, 0.147, 0.000)
Sb (0.147, 0.353, 0.000)
Se (0.000, 0.000, 0.000)
Se (0.500, 0.500, 0.000)
Cl (0.168, 0.668, 0.500)
Cl (0.668, 0.832, 0.500)
Cl (0.832, 0.332, 0.500)
Cl (0.332, 0.168, 0.500)

---

Entry from the Alexandria database: a relaxed structure of GeSF2 (PBE).

Values from the calculation:
ΔE_f (raw) = -6.4 eV per formula unit
SG = P2_1/c (14)
Calculated volume = 23.021 Å³/atom
Density of states at the Fermi level = 0.00 states/eV per cell
VASP energy = -4.718 eV per atom
Spin magnetization = 0.00 Bohr magnetons per cell
Polymorph energy (0 for the lowest one) = 0.000 eV/f.u.

Unit cell a=5.239 b=5.797 c=12.128 alpha=90.08 beta=90.00 gamma=90.00
Fractional coordinates of all 16 atoms:
Ge (0.000, 0.250, 0.338)
Ge (0.000, 0.750, 0.662)
Ge (0.500, 0.250, 0.162)
Ge (0.500, 0.750, 0.838)
S (0.750, 0.503, 0.750)
S (0.250, 0.497, 0.250)
S (0.250, 0.997, 0.750)
S (0.750, 0.003, 0.250)
F (0.313, 0.072, 0.079)
F (0.687, 0.928, 0.921)
F (0.813, 0.428, 0.421)
F (0.187, 0.572, 0.579)
F (0.313, 0.572, 0.921)
F (0.687, 0.428, 0.079)
F (0.813, 0.928, 0.579)
F (0.187, 0.072, 0.421)